1.
The following is a PBE calculation of crystalline RbLi3Pa2Te6 at its relaxed geometry, from Alexandria.

a b c (Å): 4.429 10.558 9.318
angles (deg): 98.75 103.75 90.00
Each line ends with the local moment (μB).
Atoms (fractional coordinates):
Rb  0.500  0.000  0.000  0.00
Li  0.500  0.500  0.000  0.00
Li  0.848  0.284  0.696  0.00
Li  0.152  0.716  0.304  0.00
Pa  0.833  0.660  0.665  0.98
Pa  0.167  0.340  0.335  0.98
Te  0.301  0.845  0.602  -0.03
Te  0.662  0.549  0.323  -0.03
Te  0.699  0.155  0.398  -0.03
Te  0.003  0.287  0.005  -0.03
Te  0.997  0.713  0.995  -0.03
Te  0.338  0.451  0.677  -0.03

Computed properties:
Energy relative to the elements, uncorrected, meV per atom: -900

***

2.
The following is a PBE calculation of crystalline RbLiPaTe4 at its relaxed geometry, from Alexandria.

a b c (Å): 7.773 6.251 10.496
angles (deg): 90.00 108.83 90.00
Each line ends with the local moment (μB).
Atoms (fractional coordinates):
Rb  0.758  0.750  0.948  0.00
Rb  0.242  0.250  0.052  0.00
Li  0.265  0.750  0.318  0.00
Li  0.735  0.250  0.682  0.00
Pa  0.729  0.750  0.442  0.34
Pa  0.271  0.250  0.558  0.34
Te  0.022  0.507  0.691  -0.01
Te  0.978  0.007  0.309  -0.01
Te  0.978  0.493  0.309  -0.01
Te  0.022  0.993  0.691  -0.01
Te  0.473  0.750  0.164  -0.02
Te  0.527  0.250  0.836  -0.02
Te  0.435  0.750  0.583  -0.02
Te  0.565  0.250  0.417  -0.02

Computed properties:
Energy relative to the elements, uncorrected, meV per atom: -873

***

3.
The following is a PBE calculation of crystalline RbLiPaTe3 at its relaxed geometry, from Alexandria.

a b c (Å): 4.520 9.994 10.511
angles (deg): 108.90 90.00 90.00
Each line ends with the local moment (μB).
Atoms (fractional coordinates):
Rb  0.250  0.207  0.256  0.00
Rb  0.750  0.793  0.744  0.00
Li  0.250  0.080  0.598  0.00
Li  0.750  0.920  0.402  0.00
Pa  0.250  0.676  0.153  1.00
Pa  0.750  0.324  0.847  1.00
Te  0.750  0.877  0.127  -0.03
Te  0.250  0.123  0.873  -0.03
Te  0.250  0.787  0.455  -0.02
Te  0.750  0.213  0.545  -0.02
Te  0.750  0.464  0.160  -0.03
Te  0.250  0.536  0.840  -0.03

Computed properties:
Energy relative to the elements, uncorrected, meV per atom: -996

***

4.
The following is a PBE calculation of crystalline Rb2LiPa2Te6 at its relaxed geometry, from Alexandria.

a b c (Å): 7.724 7.724 9.063
angles (deg): 97.88 97.88 120.03
Each line ends with the local moment (μB).
Atoms (fractional coordinates):
Rb  0.837  0.163  0.000  0.00
Rb  0.163  0.837  0.000  0.00
Li  0.000  0.000  0.500  0.00
Pa  0.333  0.667  0.500  0.60
Pa  0.667  0.333  0.500  0.60
Te  0.715  0.715  0.696  -0.02
Te  0.064  0.405  0.694  -0.02
Te  0.285  0.285  0.304  -0.02
Te  0.405  0.064  0.694  -0.02
Te  0.936  0.595  0.306  -0.02
Te  0.595  0.936  0.306  -0.02

Computed properties:
Energy relative to the elements, uncorrected, meV per atom: -965

***

5.
The following is a PBE calculation of crystalline RbLiPa2Te5 at its relaxed geometry, from Alexandria.

a b c (Å): 8.468 8.468 10.109
angles (deg): 114.76 114.76 90.00
Each line ends with the local moment (μB).
Atoms (fractional coordinates):
Rb  0.250  0.250  0.500  0.00
Rb  0.750  0.750  0.500  0.00
Li  0.250  0.750  0.500  0.00
Li  0.750  0.250  0.500  0.00
Pa  0.152  0.348  0.000  0.99
Pa  0.652  0.152  0.000  0.99
Pa  0.348  0.848  0.000  0.99
Pa  0.848  0.652  0.000  0.99
Te  0.974  0.474  0.245  -0.04
Te  0.729  0.229  0.755  -0.04
Te  0.026  0.526  0.755  -0.04
Te  0.229  0.026  0.755  -0.04
Te  0.526  0.729  0.755  -0.04
Te  0.771  0.974  0.245  -0.04
Te  0.474  0.271  0.245  -0.04
Te  0.271  0.771  0.245  -0.04
Te  0.500  0.500  0.000  -0.05
Te  0.000  0.000  0.000  -0.05

Computed properties:
Energy relative to the elements, uncorrected, meV per atom: -950

***

6.
The following is a PBE calculation of crystalline Rb3LiPa3Te8 at its relaxed geometry, from Alexandria.

a b c (Å): 8.938 8.938 10.121
angles (deg): 116.20 90.00 120.00
Each line ends with the local moment (μB).
Atoms (fractional coordinates):
Rb  0.000  0.000  0.000  0.00
Rb  0.000  0.500  0.000  0.00
Rb  0.500  0.500  0.000  0.00
Li  0.000  0.000  0.500  0.00
Pa  0.500  0.000  0.500  1.00
Pa  0.500  0.500  0.500  1.00
Pa  0.000  0.500  0.500  1.00
Te  0.265  0.531  0.296  -0.03
Te  0.735  0.469  0.704  -0.03
Te  0.764  0.529  0.305  -0.03
Te  0.236  0.471  0.695  -0.03
Te  0.764  0.041  0.305  -0.03
Te  0.236  0.959  0.695  -0.03
Te  0.276  0.041  0.305  -0.03
Te  0.724  0.959  0.695  -0.03

Computed properties:
Energy relative to the elements, uncorrected, meV per atom: -940

***

7.
The following is a PBE calculation of crystalline LiPa2Re at its relaxed geometry, from Alexandria.

a b c (Å): 4.890 4.890 4.890
angles (deg): 60.00 60.00 60.00
Atoms (fractional coordinates):
Re  0.000  0.000  0.000
Pa  0.250  0.250  0.250
Pa  0.750  0.750  0.750
Li  0.500  0.500  0.500

Computed properties:
Energy relative to the lowest polymorph listed for this composition, eV/atom: 0.015
Calculated formation energy, eV/atom: 0.188

***

8.
The following is a PBE calculation of crystalline LiPa2Re at its relaxed geometry, from Alexandria.

a b c (Å): 3.177 3.177 9.096
angles (deg): 90.00 90.00 90.00
Atoms (fractional coordinates):
Re  0.500  0.500  0.000
Pa  0.000  0.000  0.793
Pa  0.000  0.000  0.207
Li  0.500  0.500  0.500

Computed properties:
Energy relative to the lowest polymorph listed for this composition, eV/atom: 0.000
Calculated formation energy, eV/atom: 0.172

***

9.
The following is a PBE calculation of crystalline LiPa2Re at its relaxed geometry, from Alexandria.

a b c (Å): 3.083 3.083 11.142
angles (deg): 82.05 82.05 60.00
Atoms (fractional coordinates):
Re  0.500  0.500  0.500
Pa  0.096  0.096  0.712
Pa  0.904  0.904  0.288
Li  0.000  0.000  0.000

Computed properties:
Energy relative to the lowest polymorph listed for this composition, eV/atom: 0.158
Calculated formation energy, eV/atom: 0.330

***

10.
The following is a PBE calculation of crystalline LiPaRe4 at its relaxed geometry, from Alexandria.

a b c (Å): 5.333 5.333 5.333
angles (deg): 60.00 60.00 60.00
Atoms (fractional coordinates):
Re  0.626  0.626  0.123
Re  0.626  0.123  0.626
Re  0.626  0.626  0.626
Re  0.123  0.626  0.626
Pa  0.250  0.250  0.250
Li  0.000  0.000  0.000

Computed properties:
Calculated formation energy, eV/atom: 0.176

***

Which formula does entry 6 have? Rb3LiPa3Te8